No. 1
First-principles (PBE-GGA) data for TaV3Se8 after structural relaxation, as listed in Alexandria.

a = 6.8253 Å, b = 6.8253 Å, c = 7.9917 Å
α = 115.66°, β = 90.00°, γ = 120.00°
Last column: nearest neighbours and their distance in Å.
Positions (direct):
Ta 0.0000 0.0000 0.0000  6 Se 2.58
V 0.5000 0.0000 0.0000  6 Se 2.51-2.52
V 0.5000 0.5000 0.0000  6 Se 2.51-2.52
V 0.0000 0.5000 0.0000  6 Se 2.51-2.52
Se 0.2576 0.5152 0.7759  3 V 2.51
Se 0.7424 0.4848 0.2241  3 V 2.51
Se 0.2633 0.0141 0.7682  2 V 2.52, 1 Ta 2.58
Se 0.7508 0.0141 0.7682  2 V 2.52, 1 Ta 2.58
Se 0.7508 0.5017 0.7682  2 V 2.52, 1 Ta 2.58
Se 0.2492 0.4983 0.2318  2 V 2.52, 1 Ta 2.58
Se 0.2492 0.9859 0.2318  2 V 2.52, 1 Ta 2.58
Se 0.7367 0.9859 0.2318  2 V 2.52, 1 Ta 2.58

- symmetry = C2/m (12)
- energy relative to the elements, uncorrected (eV per atom) = -0.727
- total moment (μB/cell) = 3.0

---

No. 2
First-principles (PBE-GGA) data for TaVSe3 after structural relaxation, as listed in Alexandria.

a = 3.3768 Å, b = 6.6880 Å, c = 11.7787 Å
α = 90.00°, β = 90.00°, γ = 104.69°
Last column: nearest neighbours and their distance in Å.
Positions (direct):
Ta 0.2973 0.0840 0.2500  6 Se 2.61-2.67
Ta 0.7027 0.9160 0.7500  6 Se 2.61-2.67
V 0.0006 0.4929 0.2500  4 Se 2.43-2.44
V 0.9994 0.5071 0.7500  4 Se 2.43-2.44
Se 0.8706 0.2303 0.1012  1 V 2.44, 2 Ta 2.61
Se 0.1294 0.7697 0.8988  1 V 2.44, 2 Ta 2.61
Se 0.8706 0.2303 0.3988  1 V 2.44, 2 Ta 2.61
Se 0.1294 0.7697 0.6012  1 V 2.44, 2 Ta 2.61
Se 0.6368 0.7642 0.2500  2 V 2.43-2.44, 2 Ta 2.67
Se 0.3632 0.2358 0.7500  2 V 2.43-2.44, 2 Ta 2.67

- symmetry = P2_1/m (11)
- energy relative to the elements, uncorrected (eV per atom) = -0.474
- total moment (μB/cell) = 3.9
- distance to the lowest polymorph of the same formula (meV per atom) = 0

---

No. 3
First-principles (PBE-GGA) data for TaVSe6 after structural relaxation, as listed in Alexandria.

a = 6.3387 Å, b = 6.4166 Å, c = 7.2861 Å
α = 55.77°, β = 55.36°, γ = 57.87°
Last column: nearest neighbours and their distance in Å.
Positions (direct):
Ta 0.5000 0.5000 0.5000  6 Se 2.49-2.61
V 0.0000 0.0000 0.0000  6 Se 2.44-2.53
Se 0.0424 0.4451 0.7572  1 V 2.44, 1 Ta 2.49
Se 0.6680 0.1213 0.8416  1 Se 2.49, 1 V 2.53, 1 Ta 2.59
Se 0.6247 0.1611 0.3357  1 Se 2.47, 1 V 2.51, 1 Ta 2.61
Se 0.3320 0.8787 0.1584  1 Se 2.49, 1 V 2.53, 1 Ta 2.59
Se 0.9576 0.5549 0.2428  1 V 2.44, 1 Ta 2.49
Se 0.3753 0.8389 0.6643  1 Se 2.47, 1 V 2.51, 1 Ta 2.61

- symmetry = P-1 (2)
- energy relative to the elements, uncorrected (eV per atom) = -0.369
- total moment (μB/cell) = 1.1

---

No. 4
First-principles (PBE-GGA) data for TaV4Se8 after structural relaxation, as listed in Alexandria.

a = 7.3065 Å, b = 7.3065 Å, c = 7.3065 Å
α = 60.00°, β = 60.00°, γ = 60.00°
Last column: nearest neighbours and their distance in Å.
Positions (direct):
Ta 0.7500 0.7500 0.7500  4 Se 2.45
V 0.9580 0.3473 0.3473  3 Se 2.41
V 0.3473 0.9580 0.3473  3 Se 2.41
V 0.3473 0.3473 0.9580  3 Se 2.41
V 0.3473 0.3473 0.3473  3 Se 2.41
Se 0.6440 0.1187 0.1187  3 V 2.41
Se 0.1187 0.6440 0.1187  3 V 2.41
Se 0.1187 0.1187 0.6440  3 V 2.41
Se 0.1187 0.1187 0.1187  3 V 2.41
Se 0.1601 0.6133 0.6133  1 Ta 2.45
Se 0.6133 0.1601 0.6133  1 Ta 2.45
Se 0.6133 0.6133 0.1601  1 Ta 2.45
Se 0.6133 0.6133 0.6133  1 Ta 2.45

- symmetry = F-43m (216)
- energy relative to the elements, uncorrected (eV per atom) = -0.618
- total moment (μB/cell) = 3.1
- distance to the lowest polymorph of the same formula (meV per atom) = 0

---

No. 5
First-principles (PBE-GGA) data for Ta2VSe6 after structural relaxation, as listed in Alexandria.

a = 3.4679 Å, b = 8.0620 Å, c = 8.8451 Å
α = 114.25°, β = 101.31°, γ = 90.00°
Last column: nearest neighbours and their distance in Å.
Positions (direct):
Ta 0.8422 0.6812 0.6845  6 Se 2.52-2.69
Ta 0.1578 0.3188 0.3155  6 Se 2.52-2.69
V 0.5000 0.0000 0.0000  6 Se 2.55-2.56
Se 0.3408 0.9180 0.6816  1 V 2.56, 2 Ta 2.59
Se 0.0001 0.2322 0.0001  1 Ta 2.52, 2 V 2.55
Se 0.6728 0.5719 0.3457  3 Ta 2.61-2.69
Se 0.9999 0.7678 0.9999  1 Ta 2.52, 2 V 2.55
Se 0.6592 0.0820 0.3184  1 V 2.56, 2 Ta 2.59
Se 0.3272 0.4281 0.6543  3 Ta 2.61-2.69

- symmetry = C2/m (12)
- energy relative to the elements, uncorrected (eV per atom) = -0.776
- total moment (μB/cell) = 1.5
- distance to the lowest polymorph of the same formula (meV per atom) = 0

---

No. 6
First-principles (PBE-GGA) data for Ta2WSe after structural relaxation, as listed in Alexandria.

a = 2.9867 Å, b = 2.9867 Å, c = 8.4822 Å
α = 90.00°, β = 90.00°, γ = 111.93°
Last column: nearest neighbours and their distance in Å.
Positions (direct):
Se 0.5000 0.5000 0.7500  4 Ta 2.68, 4 Se 2.99
Ta 0.0000 0.0000 0.9972  2 Se 2.68, 2 W 2.72, 4 Ta 2.99
Ta 0.0000 0.0000 0.5028  2 Se 2.68, 2 W 2.72, 4 Ta 2.99
W 0.5000 0.5000 0.2500  4 Ta 2.72, 4 W 2.99

- symmetry = Cmmm (65)
- energy relative to the elements, uncorrected (eV per atom) = 0.065
- total moment (μB/cell) = 0.0

---

No. 7
First-principles (PBE-GGA) data for TaWSe after structural relaxation, as listed in Alexandria.

a = 4.3702 Å, b = 4.3702 Å, c = 4.3702 Å
α = 60.00°, β = 60.00°, γ = 60.00°
Last column: nearest neighbours and their distance in Å.
Positions (direct):
Se 0.0000 0.0000 0.0000  4 W 2.68
Ta 0.5000 0.5000 0.5000  4 W 2.68
W 0.7500 0.7500 0.7500  4 Ta 2.68, 4 Se 2.68

- symmetry = F-43m (216)
- energy relative to the elements, uncorrected (eV per atom) = 0.732
- total moment (μB/cell) = 0.0
- distance to the lowest polymorph of the same formula (meV per atom) = 635

---

No. 8
First-principles (PBE-GGA) data for TaW2Se after structural relaxation, as listed in Alexandria.

a = 4.8956 Å, b = 4.8956 Å, c = 3.0867 Å
α = 90.00°, β = 90.00°, γ = 113.84°
Last column: nearest neighbours and their distance in Å.
Positions (direct):
Se 0.5000 0.0000 0.5000  2 Ta 2.67, 8 W 2.89
Ta 0.0000 0.5000 0.5000  2 Se 2.67, 8 W 2.89
W 0.0000 0.0000 0.0000  2 W 2.67, 4 Ta 2.89, 4 Se 2.89
W 0.5000 0.5000 0.0000  2 W 2.67, 4 Se 2.89, 4 Ta 2.89

- symmetry = Cmmm (65)
- energy relative to the elements, uncorrected (eV per atom) = 0.480
- total moment (μB/cell) = 0.0